A geometry-optimized Sm12Y7Th structure. Source: Alexandria via LeMat-Bulk, functional GGA-PBE.

Calculated values
**Formation enthalpy at 0 K**: 0.723 eV per atom
**Energy above the lowest structure with this stoichiometry**: 506 meV per atom
**Fermi-level density of states**: 1.24 states/eV per atom
**Volume**: 1532.56 Å³ per cell

a b c (Å): 11.529 11.529 11.529
angles (deg): 90.00 90.00 90.00
Space group Im-3m (No. 229)
Inequivalent atoms, fractional coordinates:
Sm  0.000  0.225  0.225 (multiplicity 24)
Y  0.000  0.000  0.500 (multiplicity 6)
Y  0.250  0.250  0.250 (multiplicity 8)
Th  0.000  0.000  0.000 (multiplicity 2)